No. 1
A plane-wave DFT calculation with PBE was carried out for Ac7Co2Ni2 after structural relaxation.

```
data_Ac7Co2Ni2
_cell_length_a 7.2837
_cell_length_b 10.7328
_cell_length_c 8.5681
_cell_angle_alpha 90.00
_cell_angle_beta 94.67
_cell_angle_gamma 90.00
_space_group_name_H-M_alt 'C 1 2/m 1'
_space_group_IT_number 12
_space_group_name_Hall '-C 2y'
loop_
_atom_site_label
_atom_site_type_symbol
_atom_site_fract_x
_atom_site_fract_y
_atom_site_fract_z
Ac1 Ac 0.0000 0.0000 0.0000
Ac2 Ac 0.1595 0.3116 0.2082
Ac3 Ac 0.2459 0.0000 0.4089
Co1 Co 0.1250 0.5000 0.9243
Ni1 Ni 0.0000 0.2510 0.5000
```

As for the total energy: -4.99 eV per atom.



No. 2
A plane-wave DFT calculation with PBE was carried out for Rb3NpS4 after structural relaxation.

```
data_Rb3NpS4
_cell_length_a 8.0363
_cell_length_b 11.5394
_cell_length_c 6.8622
_cell_angle_alpha 90.00
_cell_angle_beta 90.00
_cell_angle_gamma 90.00
_space_group_name_H-M_alt 'I m m 2'
_space_group_IT_number 44
_space_group_name_Hall 'I 2 -2'
loop_
_atom_site_label
_atom_site_type_symbol
_atom_site_fract_x
_atom_site_fract_y
_atom_site_fract_z
Rb1 Rb 0.0000 0.0000 0.0000
Rb2 Rb 0.0000 0.2617 0.4022
Np1 Np 0.0000 0.5000 0.9467
S1 S 0.0000 0.2873 0.8836
S2 S 0.2306 0.5000 0.1786
```

As for the total energy: -5.01 eV per atom. The formation energy (no corrections) is -7.72 eV/f.u.



No. 3
A plane-wave DFT calculation with PBE was carried out for K4Rb2Na2Tl after structural relaxation.

```
data_K4Rb2Na2Tl
_cell_length_a 4.6009
_cell_length_b 4.6009
_cell_length_c 30.5998
_cell_angle_alpha 90.00
_cell_angle_beta 90.00
_cell_angle_gamma 120.00
_space_group_name_H-M_alt 'P 3 m 1'
_space_group_IT_number 156
_space_group_name_Hall 'P 3 -2"'
loop_
_atom_site_label
_atom_site_type_symbol
_atom_site_fract_x
_atom_site_fract_y
_atom_site_fract_z
K1 K 0.0000 0.0000 0.0000
K2 K 0.0000 0.0000 0.2611
K3 K 0.3333 0.6667 0.6132
K4 K 0.3333 0.6667 0.8748
Rb1 Rb 0.0000 0.0000 0.7432
Rb2 Rb 0.3333 0.6667 0.1313
Na1 Na 0.0000 0.0000 0.3869
Na2 Na 0.0000 0.0000 0.5149
Tl1 Tl 0.3333 0.6667 0.4523
```

As for the total energy: -1.21 eV per atom.



No. 4
A plane-wave DFT calculation with PBE was carried out for LiEuAgAs after structural relaxation.

```
data_LiEuAgAs
_cell_length_a 7.0371
_cell_length_b 7.0371
_cell_length_c 7.0371
_cell_angle_alpha 90.00
_cell_angle_beta 90.00
_cell_angle_gamma 90.00
_space_group_name_H-M_alt 'F -4 3 m'
_space_group_IT_number 216
_space_group_name_Hall 'F -4 2 3'
loop_
_atom_site_label
_atom_site_type_symbol
_atom_site_fract_x
_atom_site_fract_y
_atom_site_fract_z
Li1 Li 0.0000 0.0000 0.0000
Eu1 Eu 0.0000 0.0000 0.5000
Ag1 Ag 0.2500 0.2500 0.7500
As1 As 0.2500 0.2500 0.2500
```

As for the total energy: -5.48 eV per atom.



No. 5
A plane-wave DFT calculation with PBE was carried out for Rb2TlBiO4 after structural relaxation.

```
data_Rb2TlBiO4
_cell_length_a 9.0240
_cell_length_b 9.0027
_cell_length_c 6.3929
_cell_angle_alpha 90.00
_cell_angle_beta 134.79
_cell_angle_gamma 90.00
_space_group_name_H-M_alt 'C 1 2 1'
_space_group_IT_number 5
_space_group_name_Hall 'C 2y'
loop_
_atom_site_label
_atom_site_type_symbol
_atom_site_fract_x
_atom_site_fract_y
_atom_site_fract_z
Rb1 Rb 0.0000 0.0000 0.0000
Rb2 Rb 0.0000 0.2497 0.5000
Tl1 Tl 0.0000 0.7510 0.5000
Bi1 Bi 0.0000 0.5006 0.0000
O1 O 0.1628 0.6285 0.9124
O2 O 0.2489 0.8750 0.5854
```

As for the total energy: -4.62 eV per atom. The formation energy (no corrections) is -8.98 eV/f.u.



No. 6
A plane-wave DFT calculation with PBE was carried out for Na3TmNp3Te8 after structural relaxation.

```
data_Na3TmNp3Te8
_cell_length_a 8.8658
_cell_length_b 8.8658
_cell_length_c 22.6548
_cell_angle_alpha 90.00
_cell_angle_beta 90.00
_cell_angle_gamma 120.00
_space_group_name_H-M_alt 'R -3 m'
_space_group_IT_number 166
_space_group_name_Hall '-R 3 2"'
loop_
_atom_site_label
_atom_site_type_symbol
_atom_site_fract_x
_atom_site_fract_y
_atom_site_fract_z
Na1 Na 0.0000 0.5000 0.0000
Tm1 Tm 0.0000 0.0000 0.5000
Np1 Np 0.0000 0.5000 0.5000
Te1 Te 0.0000 0.0000 0.2446
Te2 Te 0.0019 0.5009 0.2433
```

As for the total energy: -5.72 eV per atom. The formation energy (no corrections) is -13.38 eV/f.u.



No. 7
A plane-wave DFT calculation with PBE was carried out for CaCePS after structural relaxation.

```
data_CaCePS
_cell_length_a 4.1104
_cell_length_b 4.1104
_cell_length_c 20.0478
_cell_angle_alpha 90.00
_cell_angle_beta 90.00
_cell_angle_gamma 120.00
_space_group_name_H-M_alt 'R 3 m'
_space_group_IT_number 160
_space_group_name_Hall 'R 3 -2"'
loop_
_atom_site_label
_atom_site_type_symbol
_atom_site_fract_x
_atom_site_fract_y
_atom_site_fract_z
Ca1 Ca 0.0000 0.0000 0.0000
Ce1 Ce 0.0000 0.0000 0.5039
P1 P 0.0000 0.0000 0.2486
S1 S 0.0000 0.0000 0.7521
```

As for the total energy: -6.08 eV per atom. The formation energy (no corrections) is -6.84 eV/f.u.



No. 8
A plane-wave DFT calculation with PBE was carried out for Rb2Ba2Ga after structural relaxation.

```
data_Rb2Ba2Ga
_cell_length_a 8.9886
_cell_length_b 8.9886
_cell_length_c 7.9567
_cell_angle_alpha 90.00
_cell_angle_beta 90.00
_cell_angle_gamma 90.00
_space_group_name_H-M_alt 'P 4/m b m'
_space_group_IT_number 127
_space_group_name_Hall '-P 4 2ab'
loop_
_atom_site_label
_atom_site_type_symbol
_atom_site_fract_x
_atom_site_fract_y
_atom_site_fract_z
Rb1 Rb 0.1778 0.3222 0.0000
Ba1 Ba 0.1764 0.6764 0.5000
Ga1 Ga 0.0000 0.0000 0.5000
```

As for the total energy: -1.66 eV per atom.



No. 9
A plane-wave DFT calculation with PBE was carried out for Th2ScTi after structural relaxation.

```
data_Th2ScTi
_cell_length_a 3.3955
_cell_length_b 3.3955
_cell_length_c 31.7215
_cell_angle_alpha 90.00
_cell_angle_beta 90.00
_cell_angle_gamma 120.00
_space_group_name_H-M_alt 'R 3 m'
_space_group_IT_number 160
_space_group_name_Hall 'R 3 -2"'
loop_
_atom_site_label
_atom_site_type_symbol
_atom_site_fract_x
_atom_site_fract_y
_atom_site_fract_z
Th1 Th 0.0000 0.0000 0.0000
Th2 Th 0.0000 0.0000 0.1739
Sc1 Sc 0.0000 0.0000 0.7561
Ti1 Ti 0.0000 0.0000 0.5847
```

As for the total energy: -7.05 eV per atom.



No. 10
A plane-wave DFT calculation with PBE was carried out for ZnOs3 after structural relaxation.

```
data_ZnOs3
_cell_length_a 2.7668
_cell_length_b 3.8772
_cell_length_c 5.2998
_cell_angle_alpha 90.00
_cell_angle_beta 90.00
_cell_angle_gamma 90.00
_space_group_name_H-M_alt 'P m m m'
_space_group_IT_number 47
_space_group_name_Hall '-P 2 2'
loop_
_atom_site_label
_atom_site_type_symbol
_atom_site_fract_x
_atom_site_fract_y
_atom_site_fract_z
Zn1 Zn 0.0000 0.0000 0.0000
Os1 Os 0.0000 0.0000 0.5000
Os2 Os 0.5000 0.5000 0.2463
```

As for the total energy: -8.47 eV per atom.



No. 11
A plane-wave DFT calculation with PBE was carried out for Ce5AuC2 after structural relaxation.

```
data_Ce5AuC2
_cell_length_a 5.1708
_cell_length_b 11.2908
_cell_length_c 12.3353
_cell_angle_alpha 90.00
_cell_angle_beta 90.00
_cell_angle_gamma 90.00
_space_group_name_H-M_alt 'C m c m'
_space_group_IT_number 63
_space_group_name_Hall '-C 2c 2'
loop_
_atom_site_label
_atom_site_type_symbol
_atom_site_fract_x
_atom_site_fract_y
_atom_site_fract_z
Ce1 Ce 0.0000 0.0618 0.1233
Ce2 Ce 0.0000 0.2165 0.7500
Ce3 Ce 0.0000 0.3450 0.0462
Au1 Au 0.0000 0.4919 0.7500
C1 C 0.0000 0.1470 0.5567
```

As for the total energy: -6.66 eV per atom.



No. 12
A plane-wave DFT calculation with PBE was carried out for MnNbIN2 after structural relaxation.

```
data_MnNbIN2
_cell_length_a 3.8594
_cell_length_b 3.8594
_cell_length_c 5.2368
_cell_angle_alpha 90.00
_cell_angle_beta 90.00
_cell_angle_gamma 90.00
_space_group_name_H-M_alt 'P 4/m m m'
_space_group_IT_number 123
_space_group_name_Hall '-P 4 2'
loop_
_atom_site_label
_atom_site_type_symbol
_atom_site_fract_x
_atom_site_fract_y
_atom_site_fract_z
Mn1 Mn 0.0000 0.0000 0.0000
Nb1 Nb 0.5000 0.5000 0.5000
I1 I 0.0000 0.0000 0.5000
N1 N 0.0000 0.5000 0.0000
```

As for the total energy: -6.28 eV per atom. The formation energy (no corrections) is 6.05 eV/f.u.